[1]
Ac14NdTh: optimized geometry, GGA-PBE.

Cell and atoms, written as POSCAR:
```
Ac14NdTh
1.0
7.8095 1.0481 0.0000
-1.0474 7.8096 0.0000
0.0000 0.0000 11.2465
Ac Nd Th
14 1 1
Cartesian
2.2754 5.2729 5.6232
6.7000 1.8951 5.6232
6.1724 5.7889 0.0000
6.1835 5.8066 5.6232
2.8048 1.3777 0.0000
2.7907 1.3623 5.6232
3.9393 7.4555 8.5292
3.9393 7.4555 2.7173
0.6086 3.0925 8.5292
0.6086 3.0925 2.7173
0.0920 6.9397 8.5377
0.0920 6.9397 2.7088
4.4564 3.6079 8.5205
4.4564 3.6079 2.7260
6.7034 1.8926 0.0000
2.2737 5.2742 0.0000
```

Output
Its space-group type is Amm2 (38).



[2]
Nd12Te3H5: optimized geometry, GGA-PBE.

Cell and atoms, written as POSCAR:
```
Nd12Te3H5
1.0
-7.9918 2.2954 -11.2531
-0.2912 -13.6109 3.2294
-4.8798 7.4580 10.7859
Te H Nd
12 20 48
Cartesian
-6.7130 -2.4503 -5.8805
-7.8212 -7.2674 -6.0761
-6.2652 -4.6861 4.9434
-3.8643 1.6692 1.6351
-8.2492 2.1716 -6.7463
-4.3989 -5.7815 0.4950
-8.7640 1.9241 2.2673
-4.9136 -6.0291 9.5085
-9.2985 -5.5267 1.1271
-6.8976 0.8287 -2.1811
-5.3416 3.4100 8.8384
-6.4498 -1.4072 8.6428
-2.3281 -2.9527 2.5009
-0.1456 -6.8054 1.6147
0.0000 0.0000 0.0000
-3.6797 -1.6097 -2.0643
-6.4358 4.8767 -0.2336
-4.1415 -5.6577 -4.0118
-3.0473 -7.1245 5.0602
-10.3001 6.5460 1.4015
-8.0058 -3.9885 -2.3767
-6.6932 4.7529 4.2732
-6.4696 -8.6104 -1.5110
-6.5814 -1.9287 1.3811
-3.9959 1.1477 -5.6265
-2.4399 3.7290 5.3930
-5.1570 0.1310 5.1390
-2.8627 -10.4034 1.3607
-2.5855 -3.0764 7.0077
-10.1155 3.2670 -2.2979
-9.4831 -2.2478 4.8266
-10.8347 -0.9048 0.2614
-5.7538 0.2231 -7.4392
-4.5795 -3.2873 2.5547
-9.4178 -0.8491 -6.6706
-4.7145 -0.8086 -3.9274
-8.3479 -3.0910 3.0422
-8.9865 -4.4190 -7.0886
-4.6611 -7.0752 3.4549
-1.5731 -11.2553 3.0325
-8.4299 -6.8795 3.9399
-6.7618 -5.0564 -3.9565
-8.3780 -1.8833 -3.1597
-6.7899 -10.3380 -6.0122
-3.6035 -5.5294 6.5866
-3.6963 -3.8863 -2.0384
-2.9300 -9.1789 6.0345
-6.1696 3.8645 2.2434
-1.8339 -0.8531 1.7720
-4.5496 -7.5912 -2.1881
-8.1483 -8.2635 -3.0095
-1.4731 -4.5256 1.0943
-7.2666 -6.6035 7.3568
-6.9136 -3.9336 -0.3797
-9.9697 -5.0806 -2.0109
-10.8384 4.3735 1.8191
-6.2492 0.0762 3.1420
-3.1931 1.2232 4.7731
-2.3245 -8.2310 0.9431
-5.0146 4.4061 5.7717
-5.8962 2.7460 -4.5946
-11.6897 0.6682 1.6679
-8.6132 3.7337 4.9504
-6.9932 -7.7220 0.5189
-11.3290 -3.0044 0.9903
-10.2329 5.3214 -3.2723
-9.5594 1.6720 -3.8244
-6.3730 6.4806 8.7745
-9.4665 0.0288 4.8007
-4.7330 3.0221 -1.1777
-6.4010 1.1990 6.7188
-4.7848 -1.9742 5.9220
-11.5898 7.3979 -0.2702
-8.5017 3.2178 -0.6926
-8.4483 -3.0488 6.6897
-4.1764 0.5615 9.8508
-4.8149 -0.7664 -0.2800
-3.7450 -3.0083 9.4329
-8.5833 -0.5702 0.2075
-7.4090 -4.0806 10.2014
```

Output
Its space-group type is Ia-3d (230).



[3]
RbBSe2: optimized geometry, GGA-PBE.

Cell and atoms, written as POSCAR:
```
RbBSe2
1.0
-4.0282 5.7716 1.0001
-4.7207 1.6668 5.0473
0.0418 4.9875 5.0657
B Se Rb
1 2 1
Cartesian
0.0000 0.0000 0.0000
-7.8664 11.2261 10.0400
-0.8408 1.1999 1.0731
-4.3536 6.2130 5.5566
```

Output
Its space-group type is R-3m (166).



[4]
CsRb2SrPb: optimized geometry, GGA-PBE.

Cell and atoms, written as POSCAR:
```
CsRb2SrPb
1.0
7.4311 0.0000 0.0000
0.0000 7.4311 0.0000
0.0000 0.0000 6.6376
Pb Cs Rb Sr
1 1 2 1
Cartesian
0.0000 0.0000 0.0000
3.7156 3.7156 3.3188
0.0000 3.7156 0.0000
3.7156 0.0000 0.0000
0.0000 0.0000 3.3188
```

Output
Its space-group type is P4/mmm (123).



[5]
La4HoPa3P8: optimized geometry, GGA-PBE.

Cell and atoms, written as POSCAR:
```
La4HoPa3P8
1.0
8.1834 0.0000 0.0000
0.0000 8.2553 0.0448
-4.0917 -4.0874 5.7906
La Ho Pa P
4 1 3 8
Cartesian
4.0917 0.0000 0.0000
2.0459 -2.0437 2.8953
0.0000 0.0000 0.0000
-2.0459 -2.0437 2.8953
0.0000 4.1276 0.0224
4.0917 4.1276 0.0224
2.0459 2.0840 2.9177
-2.0459 2.0840 2.9177
-2.0237 1.9869 5.7256
0.0000 4.0081 2.8621
0.0000 0.1456 2.9948
2.0237 1.9869 5.7256
2.0680 2.1810 0.1099
4.0917 4.0223 2.8407
4.0917 0.1598 2.9734
6.1154 2.1810 0.1099
```

Output
Its space-group type is R-3m (166).



[6]
CeCrHN2: optimized geometry, GGA-PBE.

Cell and atoms, written as POSCAR:
```
CeCrHN2
1.0
3.5038 0.0000 0.0000
0.0000 3.8153 0.0000
0.0000 0.0000 3.8153
Ce Cr H N
1 1 1 2
Cartesian
1.7519 1.9077 1.9077
0.0000 0.0000 0.0000
1.7519 0.0000 0.0000
0.0000 0.0000 1.9077
0.0000 1.9077 0.0000
```

Output
Its space-group type is P4/mmm (123).



[7]
AcTb6Er: optimized geometry, GGA-PBE.

Cell and atoms, written as POSCAR:
```
AcTb6Er
1.0
-3.0299 -2.3802 3.3464
3.9289 -0.4705 3.2227
-2.3851 8.9645 4.2165
Ac Tb Er
1 6 1
Cartesian
0.0000 0.0000 0.0000
0.4495 -1.4253 3.2846
-0.7431 3.0569 5.3928
-2.1322 1.1298 2.7644
-3.2829 5.4545 4.7985
1.3472 2.0847 2.7026
0.1966 6.4093 4.7367
-1.1926 4.4822 2.1083
```

Output
Its energy above the most stable polymorph in this dataset is 0 meV/atom. Its space-group type is P4/mmm (123).



[8]
Nd2LuBr: optimized geometry, GGA-PBE.

Cell and atoms, written as POSCAR:
```
Nd2LuBr
1.0
-1.8354 -0.4286 3.1749
-2.6165 -2.5896 0.2848
5.7488 -7.9573 4.3961
Lu Nd Br
1 2 1
Cartesian
0.6485 -5.4878 3.9279
1.1139 -8.3674 5.9552
0.1830 -2.6081 1.9006
0.0000 0.0000 0.0000
```

Output
Its energy above the most stable polymorph in this dataset is 0 meV/atom. Its space-group type is R-3m (166).



[9]
SrZn4Ir: optimized geometry, GGA-PBE.

Cell and atoms, written as POSCAR:
```
SrZn4Ir
1.0
-4.6760 0.5536 -1.5143
-1.4258 -6.3568 2.0789
0.5481 2.2321 7.2013
Sr Zn Ir
2 8 2
Cartesian
-2.4945 -2.7701 6.6899
-3.0592 -0.8011 1.0759
-1.3895 -1.6841 3.6750
-4.1642 -1.8871 4.0909
-0.8629 0.6636 2.9072
-4.6908 -4.2348 4.8586
-3.8426 -3.8807 2.3690
-1.7111 0.3096 5.3968
-0.7129 -3.1784 1.0395
0.0000 0.0000 0.0000
-1.5169 -4.1403 3.1704
-4.0368 0.5692 4.5954
```

Output
Its energy above the most stable polymorph in this dataset is 0 meV/atom. Its space-group type is Cmcm (63).



no.,VASP energy (Ha/atom)
1,-0.158
2,-0.171
3,-0.154
4,-0.061
5,-0.275
6,-0.294
7,-0.166
8,-0.164
9,-0.103